First-principles (PBE-GGA) data for an optimized crystal structure of Cs2KSiS4, as listed in the Alexandria database. Values from VASP.

Output
For the formation energy (no corrections), the calculation gives -884 meV/atom. As for the symmetry: Fddd (70).

Cell and atoms, written as Quantum ESPRESSO input:
```
&SYSTEM
  ibrav = 0, nat = 16, ntyp = 4
/
ATOMIC_SPECIES
Cs 132.91 Cs.upf
K 39.10 K.upf
Si 28.09 Si.upf
S 32.06 S.upf
ATOMIC_POSITIONS crystal
Cs 0.0604 0.0604 0.6896
Cs 0.3104 0.3104 0.9396
Cs 0.6896 0.6896 0.0604
Cs 0.9396 0.9396 0.3104
K 0.1250 0.1250 0.1250
K 0.8750 0.8750 0.8750
Si 0.3750 0.3750 0.3750
Si 0.6250 0.6250 0.6250
S 0.0719 0.5860 0.4847
S 0.3573 0.4847 0.5860
S 0.4140 0.9281 0.6427
S 0.4847 0.3573 0.0719
S 0.5153 0.6427 0.9281
S 0.5860 0.0719 0.3573
S 0.6427 0.5153 0.4140
S 0.9281 0.4140 0.5153
CELL_PARAMETERS angstrom
0.0000 6.7229 13.8081
3.5198 0.0000 13.8081
3.5198 6.7229 0.0000
```